(1)
YH3Pd5 | PBE | relaxed

The space group is C2/m (No. 12) and the conventional cell measures 10.129, 6.027 and 8.743 Å, with angles of 90.00, 123.52 and 90.00 degrees. The asymmetric unit holds Y at (0.228, 0.000, 0.316), H at (0.000, 0.000, 0.000), H at (0.000, 0.500, 0.500), H at (0.031, 0.500, 0.202), H at (0.109, 0.000, 0.744), Pd at (0.000, 0.281, 0.000), Pd at (0.003, 0.266, 0.666), Pd at (0.241, 0.000, 0.998) and Pd at (0.245, 0.000, 0.659).

The value obtained for the calculated volume is 12.36 Å³ per atom. The value obtained for the total DFT energy (no corrections) is -184.57 eV/cell. Its size of the total moment is 0.00 μB per formula unit.

(2)
Y2HPd6 | PBE | relaxed

The space group is I4/mmm (No. 139) and the conventional cell measures 5.854, 5.854 and 8.323 Å, with angles of 90.00, 90.00 and 90.00 degrees. The asymmetric unit holds Y at (0.000, 0.500, 0.250), H at (0.000, 0.000, 0.000), Pd at (0.000, 0.000, 0.251) and Pd at (0.249, 0.249, 0.500).

The value obtained for the calculated volume is 15.84 Å³ per atom. The value obtained for the total DFT energy (no corrections) is -109.30 eV/cell. Its size of the total moment is 0.00 μB per formula unit.

(3)
YH4Pd6 | PBE | relaxed

The space group is P1 (No. 1) and the conventional cell measures 5.048, 5.136 and 5.224 Å, with angles of 99.27, 97.69 and 101.02 degrees. The asymmetric unit holds Y at (0.000, 0.000, 0.000), H at (0.070, 0.539, 0.837), H at (0.191, 0.942, 0.443), H at (0.519, 0.501, 0.437), H at (0.535, 0.109, 0.968), Pd at (0.146, 0.278, 0.575), Pd at (0.304, 0.573, 0.143), Pd at (0.424, 0.828, 0.698), Pd at (0.582, 0.144, 0.315), Pd at (0.707, 0.418, 0.852) and Pd at (0.863, 0.700, 0.422).

The value obtained for the calculated volume is 11.75 Å³ per atom. The value obtained for the total DFT energy (no corrections) is -55.03 eV/cell. Its size of the total moment is 0.00 μB per formula unit.

(4)
YHPd3 | PBE | relaxed

The space group is P2_1/c (No. 14) and the conventional cell measures 7.891, 4.776 and 10.667 Å, with angles of 90.00, 132.30 and 90.00 degrees. The asymmetric unit holds Y at (0.250, 0.245, 0.203), H at (0.246, 0.602, 0.371), Pd at (0.007, 0.247, 0.836), Pd at (0.250, 0.749, 0.033) and Pd at (0.495, 0.248, 0.580).

The value obtained for the excess energy over the best structure of this formula in the dataset is 79.1 meV/atom. The value obtained for the calculated volume is 14.87 Å³ per atom. Its size of the total moment is 0.00 μB per formula unit.

(5)
YHPd3 | PBE | relaxed

The space group is R-3m (No. 166, hexagonal axes) and the conventional cell measures 5.8077, 5.8077 and 16.4195 Å, with angles of 90.00, 90.00 and 120.00 degrees. The asymmetric unit holds Y at (0.0000, 0.0000, 0.1074), H at (0.0000, 0.0000, 0.4343) and Pd at (0.0070, 0.5035, 0.9170).

The value obtained for the excess energy over the best structure of this formula in the dataset is 248.4 meV/atom. The value obtained for the calculated volume is 15.99 Å³ per atom. Its size of the total moment is 0.00 μB per formula unit.

(6)
YH6Pd8 | PBE | relaxed

The space group is P-1 (No. 2) and the conventional cell measures 3.987, 6.537 and 6.879 Å, with angles of 106.47, 90.06 and 107.73 degrees. The asymmetric unit holds Y at (0.000, 0.000, 0.000), H at (0.084, 0.172, 0.384), H at (0.305, 0.606, 0.711), H at (0.387, 0.776, 0.283), Pd at (0.116, 0.231, 0.676), Pd at (0.221, 0.441, 0.327), Pd at (0.332, 0.665, 0.999) and Pd at (0.446, 0.892, 0.664).

The value obtained for the calculated volume is 10.87 Å³ per atom. The value obtained for the total DFT energy (no corrections) is -72.80 eV/cell. Its size of the total moment is 0.00 μB per formula unit.